# 1
Below is a relaxed UTeN crystal, with properties calculated at the PBE level.

a b c (Å): 3.1901 3.1901 6.5186
angles (deg): 104.16 104.16 90.00
Closest atoms and distances in Å follow each position.
Sites, in units of the cell vectors:
Te1 0.0009 0.0009 0.0017  4 Te 3.19, 1 N 3.30, 1 U 3.33
U1 0.7288 0.7288 0.4576  4 N 2.31
N1 0.2704 0.2704 0.5407  4 U 2.31

- ΔE_f (raw): -0.677 eV per atom
- Energy relative to the lowest polymorph listed for this composition: 1.63 eV/f.u.
- Magnetic moment: 1.97 Bohr magnetons per cell
- E_tot: -24.79 eV per cell

# 2
Below is a relaxed GeSb2TePb crystal, with properties calculated at the PBE level.

a b c (Å): 5.7673 5.7673 6.0199
angles (deg): 90.00 90.00 90.00
Closest atoms and distances in Å follow each position.
Sites, in units of the cell vectors:
Pb1 0.0000 0.0000 0.5000  2 Ge 3.01
Sb1 0.0000 0.5000 0.0000  2 Ge 2.88
Sb2 0.5000 0.0000 0.0000  2 Ge 2.88
Ge1 0.0000 0.0000 0.0000  4 Sb 2.88, 2 Pb 3.01
Te1 0.5000 0.5000 0.5000  4 Pb 4.08, 8 Sb 4.17

- ΔE_f (raw): 0.636 eV per atom
- Energy relative to the lowest polymorph listed for this composition: 0.53 eV/f.u.
- Magnetic moment: 0.00 Bohr magnetons per cell
- E_tot: -16.53 eV per cell

# 3
Below is a relaxed TeSe crystal, with properties calculated at the PBE level.

a b c (Å): 4.7716 4.7716 4.7716
angles (deg): 60.00 60.00 60.00
Closest atoms and distances in Å follow each position.
Sites, in units of the cell vectors:
Se1 0.0000 0.0000 0.0000  4 Te 2.92
Te1 0.7500 0.7500 0.7500  4 Se 2.92

- ΔE_f (raw): 0.430 eV per atom
- Magnetic moment: 0.00 Bohr magnetons per cell
- E_tot: -5.77 eV per cell

# 4
Below is a relaxed NdSm5Tl8 crystal, with properties calculated at the PBE level.

a b c (Å): 8.1749 8.1749 8.1749
angles (deg): 109.66 109.09 109.66
Closest atoms and distances in Å follow each position.
Sites, in units of the cell vectors:
Nd1 0.2500 0.5000 0.7500  8 Tl 3.28-3.31
Sm1 0.0040 0.3769 0.1262  8 Tl 3.25-3.27
Sm2 0.8738 0.8777 0.2506  8 Tl 3.25-3.27
Sm3 0.7494 0.6231 0.6271  8 Tl 3.25-3.27
Sm4 0.5000 0.0000 0.5000  8 Tl 3.26-3.28
Sm5 0.3729 0.1223 0.9960  8 Tl 3.25-3.27
Tl1 0.1244 0.7526 0.0424  5 Sm 3.25-3.28, 1 Nd 3.28, 3 Tl 3.47-3.59
Tl2 0.9576 0.0819 0.7102  5 Sm 3.25-3.28, 1 Nd 3.28, 3 Tl 3.47-3.59
Tl3 0.7869 0.2500 0.3708  5 Sm 3.25-3.27, 1 Nd 3.31, 3 Tl 3.50-3.59
Tl4 0.6292 0.4161 0.8793  5 Sm 3.25-3.27, 1 Nd 3.31, 3 Tl 3.50-3.59
Tl5 0.4632 0.5839 0.2131  5 Sm 3.25-3.27, 1 Nd 3.31, 3 Tl 3.50-3.59
Tl6 0.6282 0.9181 0.8756  5 Sm 3.25-3.28, 1 Nd 3.28, 3 Tl 3.47-3.59
Tl7 0.2898 0.2474 0.3718  5 Sm 3.25-3.28, 1 Nd 3.28, 3 Tl 3.47-3.59
Tl8 0.1207 0.7500 0.5368  5 Sm 3.25-3.27, 1 Nd 3.31, 3 Tl 3.50-3.59

- DFT formation energy: -288.3 meV/atom
- Magnetic moment: 0.00 Bohr magnetons per cell
- E_tot: -51.33 eV per cell

# 5
Below is a relaxed Pm3InGe crystal, with properties calculated at the PBE level.

a b c (Å): 4.7354 7.2135 9.0525
angles (deg): 90.00 90.00 90.00
Closest atoms and distances in Å follow each position.
Sites, in units of the cell vectors:
Pm1 0.7500 0.7500 0.0691  1 Ge 2.95, 2 In 3.14
Pm2 0.2500 0.2500 0.9309  1 Ge 2.95, 2 In 3.14
Pm3 0.7500 0.9949 0.6712  3 Ge 3.06, 2 In 3.33
Pm4 0.7500 0.5051 0.6712  3 Ge 3.06, 2 In 3.33
Pm5 0.2500 0.0051 0.3288  3 Ge 3.06, 2 In 3.33
Pm6 0.2500 0.4949 0.3288  3 Ge 3.06, 2 In 3.33
In1 0.7500 0.2500 0.1582  6 Pm 3.14-3.33
In2 0.2500 0.7500 0.8418  6 Pm 3.14-3.33
Ge1 0.7500 0.7500 0.3952  7 Pm 2.95-3.06
Ge2 0.2500 0.2500 0.6048  7 Pm 2.95-3.06

- DFT formation energy: -504.9 meV/atom
- Magnetic moment: 0.00 Bohr magnetons per cell
- E_tot: -48.26 eV per cell

# 6
Below is a relaxed RbW2Br crystal, with properties calculated at the PBE level.

a b c (Å): 4.8047 4.8047 4.8047
angles (deg): 60.00 60.00 60.00
Closest atoms and distances in Å follow each position.
Sites, in units of the cell vectors:
Br1 0.0000 0.0000 0.0000  8 W 2.94
Rb1 0.5000 0.5000 0.5000  8 W 2.94
W1 0.2500 0.2500 0.2500  4 Rb 2.94, 4 Br 2.94
W2 0.7500 0.7500 0.7500  4 Rb 2.94, 4 Br 2.94

- ΔE_f (raw): 2.798 eV per atom
- Energy relative to the lowest polymorph listed for this composition: 4.39 eV/f.u.
- Magnetic moment: 0.00 Bohr magnetons per cell
- E_tot: -17.35 eV per cell

# 7
Below is a relaxed Cs2CdH2F6 crystal, with properties calculated at the PBE level.

a b c (Å): 6.2657 5.9646 7.1775
angles (deg): 118.76 90.00 121.68
Closest atoms and distances in Å follow each position.
Sites, in units of the cell vectors:
Cs1 0.7352 0.4703 0.1990  6 F 2.99-3.18, 1 H 3.33
Cs2 0.2648 0.5297 0.8010  6 F 2.99-3.18, 1 H 3.33
Cd1 0.5000 0.0000 0.5000  4 F 2.20
H1 0.8894 0.7789 0.7506  1 F 0.97
H2 0.1106 0.2211 0.2494  1 F 0.97
F1 0.8086 0.6171 0.7833  1 H 0.97
F2 0.2698 0.0383 0.3011  1 H 1.96, 1 Cd 2.20
F3 0.2315 0.9617 0.6989  1 H 1.96, 1 Cd 2.20
F4 0.7302 0.9617 0.6989  1 H 1.96, 1 Cd 2.20
F5 0.7685 0.0383 0.3011  1 H 1.96, 1 Cd 2.20
F6 0.1914 0.3829 0.2167  1 H 0.97

- Magnetic moment: 0.00 Bohr magnetons per cell
- E_tot: -44.09 eV per cell

# 8
Below is a relaxed YMgPbAu crystal, with properties calculated at the PBE level.

a b c (Å): 5.1214 5.1214 5.1214
angles (deg): 60.00 60.00 60.00
Closest atoms and distances in Å follow each position.
Sites, in units of the cell vectors:
Pb1 0.0000 0.0000 0.0000  4 Y 3.14, 4 Mg 3.14
Y1 0.2500 0.2500 0.2500  4 Au 3.14, 4 Pb 3.14
Mg1 0.7500 0.7500 0.7500  4 Pb 3.14, 4 Au 3.14
Au1 0.5000 0.5000 0.5000  4 Mg 3.14, 4 Y 3.14

- DFT formation energy: -514.7 meV/atom
- Magnetic moment: 0.00 Bohr magnetons per cell
- E_tot: -17.10 eV per cell

> What is the formula in the sixth record?

RbW2Br